The following is a PBE-GGA calculation of PuGaPd2 after structural relaxation, from Alexandria via LeMat-Bulk.

The space group is Pnma (No. 62) and the conventional cell measures 7.4147, 7.1257 and 5.7468 Å, with angles of 90.00, 90.00 and 90.00 degrees. The distinct sites, in fractional coordinates, are Pu at (0.0290, 0.2500, 0.1441), Ga at (0.1154, 0.7500, 0.3512) and Pd at (0.1821, 0.0514, 0.5848).

The total energy comes out at -120.64 eV for the cell shown. Its energy of formation from the pure elements is -604 meV per atom. The mass density is 11519 kg/m3. The calculation puts the total moment at 1.34 μB per atom.



The following is a PBE-GGA calculation of Tl3CoMo after structural relaxation, from Alexandria via LeMat-Bulk.

The space group is Pm-3m (No. 221) and the conventional cell measures 5.0423, 5.0423 and 5.0423 Å, with angles of 90.00, 90.00 and 90.00 degrees. The distinct sites, in fractional coordinates, are Tl at (0.0000, 0.0000, 0.5000), Co at (0.0000, 0.0000, 0.0000) and Mo at (0.5000, 0.5000, 0.5000).

The total energy comes out at -19.94 eV for the cell shown. Its energy of formation from the pure elements is 1020 meV per atom. The mass density is 9948 kg/m3. The calculation puts the total moment at 1.00 μB per atom.



The following is a PBE-GGA calculation of Tl2PCl after structural relaxation, from Alexandria via LeMat-Bulk.

The space group is Fm-3m (No. 225) and the conventional cell measures 7.3303, 7.3303 and 7.3303 Å, with angles of 90.00, 90.00 and 90.00 degrees. The distinct sites, in fractional coordinates, are Tl at (0.2500, 0.2500, 0.2500), P at (0.0000, 0.0000, 0.0000) and Cl at (0.0000, 0.0000, 0.5000).

The total energy comes out at -48.82 eV for the cell shown. The mass density is 8013 kg/m3. The raw formation energy is -0.054 eV/atom. The calculation puts the total moment at 0.00 μB per atom.



The following is a PBE-GGA calculation of Hf4Pt3Rh2 after structural relaxation, from Alexandria via LeMat-Bulk.

The space group is C2/m (No. 12) and the conventional cell measures 8.8837, 4.1304 and 8.7980 Å, with angles of 90.00, 100.22 and 90.00 degrees. The distinct sites, in fractional coordinates, are Hf at (0.0376, 0.0000, 0.3398), Hf at (0.1622, 0.5000, 0.8810), Pt at (0.0000, 0.0000, 0.0000), Pt at (0.1562, 0.5000, 0.5661) and Rh at (0.1776, 0.5000, 0.2064).

The total energy comes out at -162.44 eV for the cell shown. Its energy of formation from the pure elements is -953 meV per atom. The mass density is 15733 kg/m3. The calculation puts the total moment at 0.00 μB per atom.



The following is a PBE-GGA calculation of BaLiInAg after structural relaxation, from Alexandria via LeMat-Bulk.

The space group is F-43m (No. 216) and the conventional cell measures 7.5805, 7.5805 and 7.5805 Å, with angles of 90.00, 90.00 and 90.00 degrees. The distinct sites, in fractional coordinates, are Ba at (0.0000, 0.0000, 0.0000), Li at (0.2500, 0.2500, 0.7500), In at (0.0000, 0.0000, 0.5000) and Ag at (0.2500, 0.2500, 0.2500).

The total energy comes out at -40.49 eV for the cell shown. Its energy of formation from the pure elements is -174 meV per atom. The mass density is 5595 kg/m3. The calculation puts the total moment at 0.00 μB per atom.



The following is a PBE-GGA calculation of LiP2RuO after structural relaxation, from Alexandria via LeMat-Bulk.

The space group is P4/mmm (No. 123) and the conventional cell measures 4.5168, 4.5168 and 3.1042 Å, with angles of 90.00, 90.00 and 90.00 degrees. The distinct sites, in fractional coordinates, are Li at (0.0000, 0.0000, 0.0000), P at (0.0000, 0.5000, 0.0000), Ru at (0.5000, 0.5000, 0.5000) and O at (0.0000, 0.0000, 0.5000).

The total energy comes out at -24.21 eV for the cell shown. The mass density is 4876 kg/m3. The raw formation energy is 0.551 eV/atom. The calculation puts the total moment at 0.00 μB per atom.



The following is a PBE-GGA calculation of LiGdRh2 after structural relaxation, from Alexandria via LeMat-Bulk.

The space group is P4/mmm (No. 123) and the conventional cell measures 3.3076, 3.3076 and 6.1552 Å, with angles of 90.00, 90.00 and 90.00 degrees. The distinct sites, in fractional coordinates, are Li at (0.0000, 0.0000, 0.0000), Gd at (0.0000, 0.0000, 0.5000) and Rh at (0.5000, 0.5000, 0.2237).

The total energy comes out at -32.35 eV for the cell shown. Its energy of formation from the pure elements is -414 meV per atom. The mass density is 9124 kg/m3. The calculation puts the total moment at 1.76 μB per atom.



The following is a PBE-GGA calculation of BaHfGe after structural relaxation, from Alexandria via LeMat-Bulk.

The space group is P4/nmm (No. 129, origin choice 2) and the conventional cell measures 4.4635, 4.4635 and 10.1910 Å, with angles of 90.00, 90.00 and 90.00 degrees. The distinct sites, in fractional coordinates, are Ba at (0.2500, 0.2500, 0.1900), Hf at (0.2500, 0.7500, 0.5000) and Ge at (0.2500, 0.2500, 0.6626).

The total energy comes out at -35.44 eV for the cell shown. Its energy of formation from the pure elements is -409 meV per atom. The mass density is 6354 kg/m3. The calculation puts the total moment at 0.16 μB per atom.



The following is a PBE-GGA calculation of Na3Tm3ScTe8 after structural relaxation, from Alexandria via LeMat-Bulk.

The space group is R-3m (No. 166, hexagonal axes) and the conventional cell measures 8.5419, 8.5419 and 23.3058 Å, with angles of 90.00, 90.00 and 120.00 degrees. The distinct sites, in fractional coordinates, are Na at (0.0000, 0.5000, 0.0000), Tm at (0.0000, 0.5000, 0.5000), Sc at (0.0000, 0.0000, 0.5000), Te at (0.0000, 0.0000, 0.2435) and Te at (0.0069, 0.5034, 0.2413).

The total energy comes out at -200.81 eV for the cell shown. The mass density is 5552 kg/m3. The raw formation energy is -1.207 eV/atom. The calculation puts the total moment at 0.00 μB per atom.



The following is a PBE-GGA calculation of MnTe2Os after structural relaxation, from Alexandria via LeMat-Bulk.

The space group is I-4m2 (No. 119) and the conventional cell measures 3.9989, 3.9989 and 9.7027 Å, with angles of 90.00, 90.00 and 90.00 degrees. The distinct sites, in fractional coordinates, are Mn at (0.0000, 0.0000, 0.0000), Te at (0.0000, 0.0000, 0.5000), Te at (0.0000, 0.5000, 0.2500) and Os at (0.0000, 0.5000, 0.7500).

The total energy comes out at -47.14 eV for the cell shown. The mass density is 10710 kg/m3. The raw formation energy is 0.778 eV/atom. The calculation puts the total moment at 0.81 μB per atom.



The following is a PBE-GGA calculation of TaBeAg2 after structural relaxation, from Alexandria via LeMat-Bulk.

The space group is R3m (No. 160, hexagonal axes) and the conventional cell measures 2.8784, 2.8784 and 26.8481 Å, with angles of 90.00, 90.00 and 120.00 degrees. The distinct sites, in fractional coordinates, are Ta at (0.0000, 0.0000, 0.0000), Be at (0.0000, 0.0000, 0.7443), Ag at (0.0000, 0.0000, 0.2411) and Ag at (0.0000, 0.0000, 0.4818).

The total energy comes out at -60.40 eV for the cell shown. Its energy of formation from the pure elements is 287 meV per atom. The mass density is 10491 kg/m3. The calculation puts the total moment at 0.00 μB per atom.



The following is a PBE-GGA calculation of VFeC2 after structural relaxation, from Alexandria via LeMat-Bulk.

The space group is Imm2 (No. 44) and the conventional cell measures 2.9615, 4.4857 and 5.3442 Å, with angles of 90.00, 90.00 and 90.00 degrees. The distinct sites, in fractional coordinates, are V at (0.0000, 0.0000, 0.0000), Fe at (0.0000, 0.0000, 0.4982) and C at (0.0000, 0.3310, 0.7541).

The total energy comes out at -71.53 eV for the cell shown. Its energy of formation from the pure elements is 66 meV per atom. The mass density is 6119 kg/m3. The calculation puts the total moment at 0.23 μB per atom.